Here is a relaxed YSbCl2 crystal from Alexandria via LeMat-Bulk. Energies are from PBE.

Properties
As for the space group: No. 47. The calculation puts the distance to the lowest polymorph of the same formula at 7.78 kcal/mol of atoms. As for the crystal system: orthorhombic. The volume comes out at 23.8 A^3/atom. The value obtained for the raw formation energy is -0.98 eV/atom. The value obtained for the uncorrected energy is -18.2 eV/cell.

Lattice parameters (Å, degrees): 3.398 4.822 5.817 90.00 90.00 90.00
Fractional coordinates of all 4 atoms:
1 Y 0.000 0.000 0.000
2 Sb 0.500 0.000 0.500
3 Cl 0.000 0.500 0.500
4 Cl 0.500 0.500 0.000